Crystalline Na3FeAsCO7 at its relaxed geometry. Source: Alexandria via LeMat-Bulk, functional PBE with a Hubbard U.

For the uncorrected energy, the calculation gives -6.12 eV per atom. The density of states at the Fermi level comes out at 0.00 states/eV per cell. Its space-group type is P2_1/m.

Unit cell a=5.312 b=6.861 c=9.209 alpha=90.00 beta=91.27 gamma=90.00
Last column: magnetic moment on the atom in μB.
Element x y z (fractional)
Na 0.768 0.250 0.920  0.00
Na 0.232 0.750 0.080  0.00
Na 0.251 0.003 0.742  0.00
Na 0.251 0.497 0.742  0.00
Na 0.749 0.503 0.258  0.00
Na 0.749 0.997 0.258  0.00
Fe 0.781 0.750 0.657  3.77
Fe 0.219 0.250 0.343  3.77
As 0.702 0.250 0.584  0.01
As 0.298 0.750 0.416  0.01
C 0.716 0.750 0.945  0.00
C 0.284 0.250 0.055  0.00
O 0.303 0.250 0.915  0.00
O 0.697 0.750 0.085  0.00
O 0.938 0.750 0.886  0.02
O 0.062 0.250 0.114  0.02
O 0.515 0.750 0.861  0.02
O 0.485 0.250 0.139  0.02
O 0.378 0.250 0.559  0.02
O 0.622 0.750 0.441  0.02
O 0.159 0.750 0.582  0.02
O 0.841 0.250 0.418  0.02
O 0.784 0.053 0.693  0.02
O 0.784 0.447 0.693  0.02
O 0.216 0.553 0.307  0.02
O 0.216 0.947 0.307  0.02